Entry from Alexandria: TbPm4Te4 after structural relaxation (GGA-PBE).

## Properties
SG = I-42m (121)
uncorrected formation energy = -0.83 eV per atom
DFT total energy = -4.86 eV/atom
total magnetic moment = 0.0 Bohr magnetons per cell

abc: 7.9475 7.9475 7.5947
angles: 121.55 121.55 90.00
Fractional coordinates of all 9 atoms:
Pm: 0.0000 0.5000 0.0000
Pm: 0.6709 0.6709 0.3419
Pm: 0.3291 0.3291 0.6581
Pm: 0.5000 0.0000 0.0000
Te: 0.3694 0.9096 0.2790
Te: 0.6306 0.6306 0.7210
Te: 0.0904 0.0904 0.7210
Te: 0.9096 0.3694 0.2790
Tb: 0.0000 0.0000 0.0000